1.
Entry from the Alexandria database: ZnCd2Hg7 after structural relaxation (PBE-GGA).

Geometry as POSCAR:
```
ZnCd2Hg7
1.0
8.071 -3.737 0.000
8.071 3.737 0.000
-7.876 0.000 8.450
Zn Cd Hg
2 4 14
Cartesian
2.164 2.483 6.337
6.102 -2.483 2.112
-1.984 2.268 7.557
6.311 2.268 5.118
1.954 -2.268 3.332
10.250 -2.268 0.893
3.177 2.411 3.700
0.475 0.403 3.436
6.102 2.140 2.112
9.027 2.411 0.525
-3.464 -0.403 7.661
0.312 0.340 6.636
4.250 -0.340 2.411
4.015 0.340 6.039
7.953 -0.340 1.814
11.729 0.403 0.789
-0.761 -2.411 7.925
2.164 -2.140 6.337
7.791 -0.403 5.014
5.089 -2.411 4.750
```

Output
The formation enthalpy at 0 K comes out at 0.045 eV per atom. The magnetic moment comes out at 0.000 μB per atom. As for the total energy: -4.770 eV per formula unit.

2.
Entry from the Alexandria database: Zn2Cd2Hg after structural relaxation (PBE-GGA).

Geometry as POSCAR:
```
Zn2Cd2Hg
1.0
7.025 0.000 0.000
0.000 7.025 0.000
0.000 0.000 4.230
Zn Cd Hg
4 4 2
Cartesian
0.913 2.600 0.000
2.600 6.113 0.000
4.425 0.913 0.000
6.113 4.425 0.000
1.176 4.689 2.115
2.336 1.176 2.115
4.689 5.849 2.115
5.849 2.336 2.115
0.000 0.000 0.000
3.513 3.513 0.000
```

Output
The energy above the lowest structure with this stoichiometry is 10 meV per atom. The formation enthalpy at 0 K comes out at 0.088 eV per atom. The magnetic moment comes out at 0.000 μB per atom. As for the total energy: -4.239 eV per formula unit.

3.
Entry from the Alexandria database: Zn2CdHg after structural relaxation (PBE-GGA).

Geometry as POSCAR:
```
Zn2CdHg
1.0
3.562 0.000 0.000
0.000 3.884 0.000
0.000 0.000 5.686
Zn Cd Hg
2 1 1
Cartesian
0.000 0.000 1.411
0.000 0.000 4.275
1.781 1.942 2.843
1.781 1.942 0.000
```

Output
The energy above the lowest structure with this stoichiometry is 28 meV per atom. The formation enthalpy at 0 K comes out at 0.105 eV per atom. The magnetic moment comes out at 0.000 μB per atom. As for the total energy: -3.346 eV per formula unit.

4.
Entry from the Alexandria database: ZnCdHg2 after structural relaxation (PBE-GGA).

Geometry as POSCAR:
```
ZnCdHg2
1.0
1.714 0.990 8.918
-1.714 0.990 8.918
0.000 -1.979 8.918
Zn Cd Hg
1 1 2
Cartesian
0.000 0.000 0.000
0.000 0.000 19.900
0.000 0.000 6.871
0.000 0.000 13.350
```

Output
The energy above the lowest structure with this stoichiometry is 19 meV per atom. The formation enthalpy at 0 K comes out at 0.082 eV per atom. The magnetic moment comes out at 0.000 μB per atom. As for the total energy: -2.465 eV per formula unit.

5.
Entry from the Alexandria database: Zn2CdHg after structural relaxation (PBE-GGA).

Geometry as POSCAR:
```
Zn2CdHg
1.0
2.830 -3.855 0.000
2.830 3.855 0.000
0.000 0.000 3.625
Zn Cd Hg
2 1 1
Cartesian
1.415 1.927 0.000
1.415 -1.927 0.000
0.000 0.000 1.813
2.830 0.000 1.813
```

Output
The energy above the lowest structure with this stoichiometry is 20 meV per atom. The formation enthalpy at 0 K comes out at 0.097 eV per atom. The magnetic moment comes out at 0.000 μB per atom. As for the total energy: -3.379 eV per formula unit.

6.
Entry from the Alexandria database: ZnCdHg2 after structural relaxation (PBE-GGA).

Geometry as POSCAR:
```
ZnCdHg2
1.0
3.164 -3.938 0.000
3.164 3.938 0.000
-0.462 0.000 3.623
Zn Cd Hg
1 1 2
Cartesian
0.000 0.000 0.000
3.164 0.000 0.000
1.351 1.969 1.811
1.351 -1.969 1.811
```

Output
The energy above the lowest structure with this stoichiometry is 32 meV per atom. The formation enthalpy at 0 K comes out at 0.095 eV per atom. The magnetic moment comes out at 0.000 μB per atom. As for the total energy: -2.412 eV per formula unit.